## A
PBE-GGA AuI2OF, relaxed; calculated volume = 105 Å³ per cell
1.0
5.164 0.000 0.000
0.000 5.164 0.000
0.000 0.000 3.948
Au I O F
1 2 1 1
Cartesian
0.000 0.000 0.000
0.000 2.582 1.974
2.582 0.000 1.974
2.582 2.582 0.000
2.582 2.582 1.974

## B
PBE-GGA AuI2OF, relaxed; calculated volume = 128 Å³ per cell
1.0
5.716 0.000 0.000
0.000 5.716 0.000
0.000 0.000 3.912
Au I O F
1 2 1 1
Cartesian
0.000 0.000 0.000
0.000 2.858 0.000
2.858 0.000 0.000
0.000 0.000 1.956
2.858 2.858 1.956

Stability verdict: B, ahead by 468 meV per atom

## A
PBE-GGA In3AuF, relaxed; calculated volume = 125 Å³ per cell
1.0
4.995 0.000 0.000
0.000 4.995 0.000
0.000 0.000 4.995
In Au F
3 1 1
Cartesian
0.000 0.000 2.497
0.000 2.497 0.000
2.497 0.000 0.000
2.497 2.497 2.497
0.000 0.000 0.000

## B
PBE-GGA In3AuF, relaxed; calculated volume = 155 Å³ per cell
1.0
5.376 0.000 0.000
0.000 5.376 0.000
0.000 0.000 5.376
In Au F
3 1 1
Cartesian
0.000 0.000 2.688
0.000 2.688 0.000
2.688 0.000 0.000
0.000 0.000 0.000
2.688 2.688 2.688

Stability verdict: A, ahead by 75 meV per atom

## A
PBE-GGA InAu3F, relaxed; calculated volume = 103 Å³ per cell
1.0
4.685 0.000 0.000
0.000 4.685 0.000
0.000 0.000 4.685
In Au F
1 3 1
Cartesian
0.000 0.000 0.000
0.000 2.343 2.343
2.343 0.000 2.343
2.343 2.343 0.000
2.343 2.343 2.343

## B
PBE-GGA InAu3F, relaxed; calculated volume = 143 Å³ per cell
1.0
5.235 0.000 0.000
0.000 5.235 0.000
0.000 0.000 5.235
In Au F
1 3 1
Cartesian
0.000 0.000 0.000
0.000 0.000 2.617
0.000 2.617 0.000
2.617 0.000 0.000
2.617 2.617 2.617

Stability verdict: A, ahead by 303 meV per atom

## A
PBE-GGA InAuF2, relaxed; calculated volume = 63 Å³ per cell
1.0
0.000 3.165 3.165
3.165 0.000 3.165
3.165 3.165 0.000
In Au F
1 1 2
Cartesian
0.000 0.000 0.000
3.165 3.165 3.165
1.582 1.582 1.582
4.747 4.747 4.747

## B
PBE-GGA InAuF2, relaxed; calculated volume = 78 Å³ per cell
1.0
1.701 0.982 7.782
-1.701 0.982 7.782
0.000 -1.964 7.782
In Au F
1 1 2
Cartesian
0.000 0.000 0.000
0.000 0.000 11.673
0.000 0.000 9.605
0.000 0.000 13.742

## C
PBE-GGA InAuF2, relaxed; calculated volume = 136 Å³ per cell
1.0
-2.076 2.076 7.863
2.076 -2.076 7.863
2.076 2.076 -7.863
In Au F
2 2 4
Cartesian
0.000 0.000 0.000
0.000 2.076 3.932
2.076 0.000 3.932
0.000 0.000 7.863
3.113 0.948 -1.966
0.948 1.038 1.966
-1.038 1.127 5.898
1.127 1.038 9.829

Stability verdict: B, ahead by 33 meV per atom

## A
PBE-GGA In2AuF, relaxed; calculated volume = 203 Å³ per cell
1.0
-2.626 2.626 7.350
2.626 -2.626 7.350
2.626 2.626 -7.350
In Au F
4 2 2
Cartesian
3.939 1.017 -1.838
1.017 1.313 1.838
-1.313 1.609 5.513
1.609 1.313 9.188
2.626 0.000 3.675
0.000 0.000 7.350
0.000 0.000 0.000
0.000 2.626 3.675

## B
PBE-GGA In2AuF, relaxed; calculated volume = 80 Å³ per cell
1.0
0.000 3.423 3.423
3.423 0.000 3.423
3.423 3.423 0.000
In Au F
2 1 1
Cartesian
1.712 1.712 1.712
5.135 5.135 5.135
0.000 0.000 0.000
3.423 3.423 3.423

## C
PBE-GGA In2AuF, relaxed; calculated volume = 111 Å³ per cell
1.0
2.116 1.222 7.155
-2.116 1.222 7.155
0.000 -2.443 7.155
In Au F
2 1 1
Cartesian
0.000 0.000 2.183
0.000 0.000 19.282
0.000 0.000 10.733
0.000 0.000 0.000

Stability verdict: C, ahead by 87 meV per atom

## A
PBE-GGA InAuNF2, relaxed; calculated volume = 88 Å³ per cell
1.0
4.836 0.000 0.000
0.000 4.836 0.000
0.000 0.000 3.769
In Au N F
1 1 1 2
Cartesian
0.000 0.000 0.000
2.418 2.418 1.884
2.418 2.418 0.000
0.000 2.418 1.884
2.418 0.000 1.884

## B
PBE-GGA InAuNF2, relaxed; calculated volume = 78 Å³ per cell
1.0
4.210 0.000 0.000
0.000 4.210 0.000
0.000 0.000 4.420
In Au N F
1 1 1 2
Cartesian
0.000 0.000 0.000
2.105 2.105 2.210
0.000 0.000 2.210
0.000 2.105 0.000
2.105 0.000 0.000

Stability verdict: B, ahead by 187 meV per atom

## A
PBE-GGA InAuOF2, relaxed; calculated volume = 85 Å³ per cell
1.0
4.634 0.000 0.000
0.000 4.634 0.000
0.000 0.000 3.966
In Au O F
1 1 1 2
Cartesian
0.000 0.000 0.000
2.317 2.317 1.983
2.317 2.317 0.000
0.000 2.317 1.983
2.317 0.000 1.983

## B
PBE-GGA InAuOF2, relaxed; calculated volume = 76 Å³ per cell
1.0
4.253 0.000 0.000
0.000 4.253 0.000
0.000 0.000 4.208
In Au O F
1 1 1 2
Cartesian
0.000 0.000 0.000
2.127 2.127 2.104
0.000 0.000 2.104
0.000 2.127 0.000
2.127 0.000 0.000

Stability verdict: B, ahead by 430 meV per atom

## A
PBE-GGA Ir2AuF, relaxed; calculated volume = 60 Å³ per cell
1.0
0.000 3.110 3.110
3.110 0.000 3.110
3.110 3.110 0.000
Ir Au F
2 1 1
Cartesian
1.555 1.555 1.555
4.665 4.665 4.665
0.000 0.000 0.000
3.110 3.110 3.110

## B
PBE-GGA Ir2AuF, relaxed; calculated volume = 128 Å³ per cell
1.0
-1.808 1.808 9.779
1.808 -1.808 9.779
1.808 1.808 -9.779
Ir Au F
4 2 2
Cartesian
2.712 0.897 -2.445
0.897 0.904 2.445
-0.904 0.912 7.334
0.912 0.904 12.224
1.808 0.000 4.889
0.000 0.000 9.779
0.000 0.000 0.000
0.000 1.808 4.889

Stability verdict: B, ahead by 93 meV per atom

## A
PBE-GGA IrAuF3, relaxed; calculated volume = 85 Å³ per cell
1.0
4.400 0.000 0.000
0.000 4.400 0.000
0.000 0.000 4.400
Ir Au F
1 1 3
Cartesian
0.000 0.000 0.000
2.200 2.200 2.200
0.000 2.200 2.200
2.200 0.000 2.200
2.200 2.200 0.000

## B
PBE-GGA IrAuF3, relaxed; calculated volume = 75 Å³ per cell
1.0
4.217 0.000 0.000
0.000 4.217 0.000
0.000 0.000 4.217
Ir Au F
1 1 3
Cartesian
0.000 0.000 0.000
2.108 2.108 2.108
0.000 0.000 2.108
0.000 2.108 0.000
2.108 0.000 0.000

Stability verdict: B, ahead by 697 meV per atom

## A
PBE-GGA IrAuNF2, relaxed; calculated volume = 72 Å³ per cell
1.0
4.405 0.000 0.000
0.000 4.405 0.000
0.000 0.000 3.692
Ir Au N F
1 1 1 2
Cartesian
0.000 0.000 0.000
2.202 2.202 1.846
0.000 0.000 1.846
0.000 2.202 0.000
2.202 0.000 0.000

## B
PBE-GGA IrAuNF2, relaxed; calculated volume = 79 Å³ per cell
1.0
4.601 0.000 0.000
0.000 4.601 0.000
0.000 0.000 3.749
Ir Au N F
1 1 1 2
Cartesian
0.000 0.000 0.000
2.300 2.300 1.875
2.300 2.300 0.000
0.000 2.300 1.875
2.300 0.000 1.875

Stability verdict: A, ahead by 1147 meV per atom

## A
PBE-GGA IrAuN2F, relaxed; calculated volume = 68 Å³ per cell
1.0
4.079 0.000 0.000
0.000 4.079 0.000
0.000 0.000 4.068
Ir Au N F
1 1 2 1
Cartesian
0.000 0.000 0.000
2.040 2.040 2.034
0.000 2.040 2.034
2.040 0.000 2.034
2.040 2.040 0.000

## B
PBE-GGA IrAuN2F, relaxed; calculated volume = 69 Å³ per cell
1.0
3.778 0.000 0.000
0.000 3.778 0.000
0.000 0.000 4.842
Ir Au N F
1 1 2 1
Cartesian
0.000 0.000 0.000
1.889 1.889 2.421
0.000 1.889 0.000
1.889 0.000 0.000
0.000 0.000 2.421

Stability verdict: B, ahead by 1311 meV per atom

## A
PBE-GGA PIrAuOF, relaxed; calculated volume = 78 Å³ per cell
1.0
3.202 0.000 0.000
-1.600 4.456 0.000
-0.014 -0.023 5.493
P Ir Au O F
1 1 1 1 1
Cartesian
0.000 0.000 0.000
-0.013 2.922 5.111
-0.003 1.504 1.804
-0.013 1.055 4.293
-0.012 3.380 3.071

## B
PBE-GGA PIrAuOF, relaxed; calculated volume = 81 Å³ per cell
1.0
4.811 0.000 0.000
0.000 2.654 0.000
-0.825 0.000 6.343
P Ir Au O F
1 1 1 1 1
Cartesian
0.000 0.000 0.000
4.184 1.327 4.454
1.767 0.000 4.165
4.123 1.327 0.840
1.378 0.000 0.801

Stability verdict: B, ahead by 122 meV per atom